Computed, not measured: a relaxed GdZnPdRu crystal at the PBE-GGA level of DFT.

Lattice parameters (Å, degrees): 4.6242 4.6242 4.6242 60.00 60.00 60.00
With the nearest neighbours (Å) after each atom.
Fractional coordinates of all 4 atoms:
Gd: 0.0000 0.0000 0.0000  4 Pd 2.83, 4 Ru 2.83
Zn: 0.5000 0.5000 0.5000  4 Ru 2.83, 4 Pd 2.83
Pd: 0.7500 0.7500 0.7500  4 Zn 2.83, 4 Gd 2.83
Ru: 0.2500 0.2500 0.2500  4 Gd 2.83, 4 Zn 2.83

space-group type: F-43m, No. 216
DFT total energy: -7.8032 eV per atom
density of states at the Fermi level: 2.35 states/eV/cell

---

Computed, not measured: a relaxed Pm7RhPb4 crystal at the PBE-GGA level of DFT.

Lattice parameters (Å, degrees): 8.3128 8.3128 11.3371 123.12 123.12 38.36
With the nearest neighbours (Å) after each atom.
Fractional coordinates of all 12 atoms:
Pm: 0.0000 0.0000 0.0000  2 Rh 2.73
Pm: 0.1414 0.1414 0.5531  5 Pb 3.21-3.33
Pm: 0.2895 0.2895 0.1274  4 Pb 3.13-3.41
Pm: 0.4218 0.4218 0.7181  1 Rh 2.68
Pm: 0.5782 0.5782 0.2819  1 Rh 2.68
Pm: 0.7105 0.7105 0.8726  4 Pb 3.13-3.41
Pm: 0.8586 0.8586 0.4469  5 Pb 3.21-3.33
Rh: 0.5000 0.5000 0.0000  4 Pm 2.68-2.73
Pb: 0.0761 0.0761 0.7765  8 Pm 3.23-3.45
Pb: 0.2265 0.2265 0.3436  7 Pm 3.13-3.43
Pb: 0.7735 0.7735 0.6564  7 Pm 3.13-3.43
Pb: 0.9239 0.9239 0.2235  8 Pm 3.23-3.45

space-group type: C2/m, No. 12
DFT total energy: -4.9349 eV per atom
density of states at the Fermi level: 9.90 states/eV/cell

---

Computed, not measured: a relaxed Ga3NiCl crystal at the PBE-GGA level of DFT.

Lattice parameters (Å, degrees): 4.6401 4.6401 4.6401 90.00 90.00 90.00
With the nearest neighbours (Å) after each atom.
Fractional coordinates of all 5 atoms:
Ga: 0.0000 0.0000 0.5000  2 Ni 2.32
Ga: 0.0000 0.5000 0.0000  2 Ni 2.32
Ga: 0.5000 0.0000 0.0000  2 Ni 2.32
Ni: 0.0000 0.0000 0.0000  6 Ga 2.32
Cl: 0.5000 0.5000 0.5000  12 Ga 3.28

formation energy (no corrections): -2.1 eV/f.u.
space-group type: Pm-3m, No. 221
offset from the most stable computed form: 0 meV per atom
density of states at the Fermi level: 0.27 states/eV/cell

---

Computed, not measured: a relaxed NbHgO2F crystal at the PBE-GGA level of DFT.

Lattice parameters (Å, degrees): 4.2643 4.2643 4.3822 90.00 90.00 90.00
With the nearest neighbours (Å) after each atom.
Fractional coordinates of all 5 atoms:
Nb: 0.0000 0.0000 0.0000  4 F 3.02, 8 O 3.06
Hg: 0.5000 0.5000 0.5000  4 O 2.13, 2 F 2.19
O: 0.0000 0.5000 0.5000  2 Hg 2.13
O: 0.5000 0.0000 0.5000  2 Hg 2.13
F: 0.5000 0.5000 0.0000  2 Hg 2.19

formation energy (no corrections): 0.8 eV/f.u.
space-group type: P4/mmm, No. 123
density of states at the Fermi level: 6.08 states/eV/cell